Record 1
Material: HfTl2H
Method: DFT, GGA-PBE
State: relaxed

a b c (Å): 7.1852 7.1852 5.9204
angles (deg): 52.64 52.64 90.00
Last column: nearest neighbours and their distance in Å.
Fractional positions:
1 Hf 0.0000 0.0000 0.0000  2 H 3.04, 8 Tl 3.05-3.16
2 H 0.2500 0.7500 0.5000  4 Tl 2.32
3 Tl 0.5491 0.1250 0.2500  2 H 2.32
4 H 0.5000 0.5000 0.0000  4 Tl 2.32
5 Tl 0.2009 0.6250 0.2500  2 H 2.32
6 Tl 0.3750 0.4509 0.7500  2 H 2.32
7 Hf 0.7500 0.2500 0.5000  2 H 3.04, 8 Tl 3.05-3.16
8 Tl 0.8750 0.7991 0.7500  2 H 2.32

Results
SG: No. 122
Volume: 19.61 Å³ per atom
E above lowest polymorph: 0.00 eV per formula unit
M_tot: 0.00 μB per formula unit



Record 2
Material: Ce2ErBi
Method: DFT, GGA-PBE
State: relaxed

a b c (Å): 4.4622 4.3688 11.7493
angles (deg): 90.00 100.63 90.00
Last column: nearest neighbours and their distance in Å.
Fractional positions:
1 Ce 0.0007 0.2500 0.8827  2 Ce 2.82
2 Bi 0.8234 0.7500 0.6603  5 Er 3.16-3.18, 3 Ce 3.37-3.39
3 Ce 0.9993 0.7500 0.1173  2 Ce 2.82
4 Er 0.6951 0.7500 0.3868  5 Bi 3.16-3.18
5 Ce 0.4044 0.7500 0.8890  2 Ce 2.82
6 Ce 0.5956 0.2500 0.1110  2 Ce 2.82
7 Er 0.3049 0.2500 0.6132  5 Bi 3.16-3.18
8 Bi 0.1766 0.2500 0.3397  5 Er 3.16-3.18, 3 Ce 3.37-3.39

Results
SG: No. 11
Volume: 28.14 Å³ per atom
E above lowest polymorph: 0.00 eV per formula unit
M_tot: 0.00 μB per formula unit



Record 3
Material: Sc2ZnAg
Method: DFT, GGA-PBE
State: relaxed

a b c (Å): 3.4173 3.4163 6.6769
angles (deg): 90.00 90.00 90.00
Last column: nearest neighbours and their distance in Å.
Fractional positions:
1 Sc 0.0000 0.0000 0.4927  4 Zn 2.91, 4 Ag 2.96, 1 Sc 3.24
2 Ag 0.5000 0.5000 0.7500  8 Sc 2.96
3 Zn 0.5000 0.5000 0.2500  8 Sc 2.91
4 Sc 0.0000 0.0000 0.0073  4 Zn 2.91, 4 Ag 2.96, 1 Sc 3.24

Results
Calculated total energy: -4.525 eV per atom
SG: No. 123
Volume: 19.49 Å³ per atom
M_tot: 0.00 μB per formula unit